Record 1
TbSb2Pd2 | GGA-PBE | relaxed

Unit cell a=4.524 b=4.524 c=10.937 alpha=90.00 beta=90.00 gamma=90.00
Space group P4/nmm (No. 129, origin choice 2)
One atom of each set of equivalent atoms:
Tb1 0.250 0.250 0.225 [2 per cell]
Sb1 0.250 0.250 0.870 [2 per cell]
Sb2 0.250 0.750 0.500 [2 per cell]
Pd1 0.250 0.250 0.637 [2 per cell]
Pd2 0.250 0.750 0.000 [2 per cell]

Summary:
E above lowest polymorph: 0 meV/atom

Record 2
SrErNO | GGA-PBE | relaxed

Unit cell a=4.145 b=4.145 c=8.209 alpha=90.00 beta=90.00 gamma=90.00
Space group P4/nmm (No. 129, origin choice 2)
One atom of each set of equivalent atoms:
Sr1 0.250 0.750 0.000 [2 per cell]
Er1 0.250 0.250 0.395 [2 per cell]
N1 0.250 0.250 0.829 [2 per cell]
O1 0.250 0.750 0.500 [2 per cell]

Summary:
E above lowest polymorph: 812 meV/atom

Record 3
GaCoOsPd | GGA-PBE | relaxed

Unit cell a=6.057 b=6.057 c=6.057 alpha=90.00 beta=90.00 gamma=90.00
Space group F-43m (No. 216)
One atom of each set of equivalent atoms:
Ga1 0.000 0.000 0.000 [4 per cell]
Co1 0.250 0.250 0.250 [4 per cell]
Os1 0.250 0.250 0.750 [4 per cell]
Pd1 0.000 0.000 0.500 [4 per cell]

Summary:
E above lowest polymorph: 0 meV/atom

Record 4
NaLuOsW | GGA-PBE | relaxed

Unit cell a=6.688 b=6.688 c=6.688 alpha=90.00 beta=90.00 gamma=90.00
Space group F-43m (No. 216)
One atom of each set of equivalent atoms:
Na1 0.000 0.000 0.000 [4 per cell]
Lu1 0.000 0.000 0.500 [4 per cell]
Os1 0.250 0.250 0.750 [4 per cell]
W1 0.250 0.250 0.250 [4 per cell]

Summary:
E above lowest polymorph: 684 meV/atom

Record 5
BeGaCoPd | GGA-PBE | relaxed

Unit cell a=5.804 b=5.804 c=5.804 alpha=90.00 beta=90.00 gamma=90.00
Space group F-43m (No. 216)
One atom of each set of equivalent atoms:
Be1 0.000 0.000 0.000 [4 per cell]
Ga1 0.250 0.250 0.250 [4 per cell]
Co1 0.000 0.000 0.500 [4 per cell]
Pd1 0.250 0.250 0.750 [4 per cell]

Summary:
E above lowest polymorph: 230 meV/atom

Record 6
Pr2Fe14B | GGA-PBE | relaxed

Unit cell a=8.654 b=8.654 c=12.694 alpha=90.00 beta=90.00 gamma=90.00
Space group P4_2/mnm (No. 136)
One atom of each set of equivalent atoms:
Pr1 0.196 0.196 0.000 [4 per cell]
Pr2 0.234 0.766 0.000 [4 per cell]
Fe1 0.000 0.000 0.096 [4 per cell]
Fe2 0.000 0.500 0.000 [4 per cell]
Fe3 0.023 0.641 0.178 [16 per cell]
Fe4 0.029 0.744 0.382 [16 per cell]
Fe5 0.102 0.898 0.239 [8 per cell]
Fe6 0.197 0.197 0.249 [8 per cell]
B1 0.072 0.928 0.500 [4 per cell]

Summary:
E above lowest polymorph: 244 meV/atom

Record 7
GaFeHgOs | GGA-PBE | relaxed

Unit cell a=6.312 b=6.312 c=6.312 alpha=90.00 beta=90.00 gamma=90.00
Space group F-43m (No. 216)
One atom of each set of equivalent atoms:
Ga1 0.000 0.000 0.000 [4 per cell]
Fe1 0.250 0.250 0.250 [4 per cell]
Hg1 0.250 0.250 0.750 [4 per cell]
Os1 0.000 0.000 0.500 [4 per cell]

Summary:
E above lowest polymorph: 133 meV/atom

Record 8
PrZnB | GGA-PBE | relaxed

Unit cell a=6.141 b=6.141 c=6.141 alpha=90.00 beta=90.00 gamma=90.00
Space group F-43m (No. 216)
One atom of each set of equivalent atoms:
Pr1 0.000 0.000 0.000 [4 per cell]
Zn1 0.000 0.000 0.500 [4 per cell]
B1 0.250 0.250 0.250 [4 per cell]

Summary:
E above lowest polymorph: 0 meV/atom

Record 9
Hf2Mg2Zr | GGA-PBE | relaxed

Unit cell a=4.022 b=4.022 c=14.108 alpha=90.00 beta=90.00 gamma=90.00
Space group I4/mmm (No. 139)
One atom of each set of equivalent atoms:
Hf1 0.000 0.500 0.250 [4 per cell]
Mg1 0.000 0.000 0.094 [4 per cell]
Zr1 0.000 0.000 0.500 [2 per cell]

Summary:
E_tot: -5.794 eV per atom

Record 10
PmPd3I | GGA-PBE | relaxed

Unit cell a=7.2070 b=7.2070 c=5.7413 alpha=90.00 beta=90.00 gamma=120.00
Space group P6_3/mmc (No. 194)
One atom of each set of equivalent atoms:
Pm1 0.3333 0.6667 0.2500 [2 per cell]
Pd1 0.0867 0.5434 0.7500 [6 per cell]
I1 0.0000 0.0000 0.2500 [2 per cell]

Summary:
E_tot: -4.319 eV per atom

Record 11
Tb2SiPd | GGA-PBE | relaxed

Unit cell a=5.720 b=3.939 c=7.972 alpha=90.00 beta=91.69 gamma=90.00
Space group P2_1/m (No. 11)
One atom of each set of equivalent atoms:
Tb1 0.123 0.250 0.323 [2 per cell]
Tb2 0.375 0.250 0.817 [2 per cell]
Si1 0.126 0.750 0.036 [2 per cell]
Pd1 0.347 0.750 0.544 [2 per cell]

Summary:
E_tot: -5.760 eV per atom

Record 12
YCuBPt | GGA-PBE | relaxed

Unit cell a=6.357 b=6.357 c=6.357 alpha=90.00 beta=90.00 gamma=90.00
Space group F-43m (No. 216)
One atom of each set of equivalent atoms:
Y1 0.000 0.000 0.000 [4 per cell]
Cu1 0.000 0.000 0.500 [4 per cell]
B1 0.250 0.250 0.250 [4 per cell]
Pt1 0.250 0.250 0.750 [4 per cell]

Summary:
E above lowest polymorph: 0 meV/atom

Record 13
RbZn | GGA-PBE | relaxed

Unit cell a=4.601 b=19.129 c=7.359 alpha=90.00 beta=90.00 gamma=90.00
Space group Pmm2 (No. 25)
One atom of each set of equivalent atoms:
Rb1 0.000 0.096 0.000 [2 per cell]
Rb2 0.000 0.199 0.494 [2 per cell]
Rb3 0.500 0.301 0.992 [2 per cell]
Rb4 0.500 0.404 0.488 [2 per cell]
Zn1 0.000 0.000 0.511 [1 per cell]
Zn2 0.000 0.432 0.863 [2 per cell]
Zn3 0.000 0.500 0.178 [1 per cell]
Zn4 0.500 0.000 0.311 [1 per cell]
Zn5 0.500 0.068 0.625 [2 per cell]
Zn6 0.500 0.500 0.980 [1 per cell]

Summary:
E_tot: -0.965 eV per atom

Record 14
Pr4Br4O3 | GGA-PBE | relaxed

Unit cell a=4.070 b=8.181 c=7.461 alpha=90.00 beta=90.00 gamma=90.00
Space group Pmm2 (No. 25)
One atom of each set of equivalent atoms:
Pr1 0.000 0.000 0.000 [1 per cell]
Pr2 0.000 0.500 0.009 [1 per cell]
Pr3 0.500 0.247 0.676 [2 per cell]
Br1 0.000 0.000 0.474 [1 per cell]
Br2 0.000 0.500 0.489 [1 per cell]
Br3 0.500 0.254 0.202 [2 per cell]
O1 0.000 0.256 0.841 [2 per cell]
O2 0.500 0.000 0.841 [1 per cell]

Summary:
E_tot: -6.247 eV per atom

Record 15
Er2Sn | GGA-PBE | relaxed

Unit cell a=8.785 b=8.785 c=8.785 alpha=90.00 beta=90.00 gamma=90.00
Space group Fd-3m (No. 227, origin choice 2)
One atom of each set of equivalent atoms:
Er1 0.000 0.000 0.000 [16 per cell]
Sn1 0.125 0.125 0.625 [8 per cell]

Summary:
E_tot: -4.344 eV per atom

Record 16
Gd2HoMg3CdGa2 | GGA-PBE | relaxed

Unit cell a=4.481 b=12.763 c=7.416 alpha=90.00 beta=90.00 gamma=90.00
Space group Amm2 (No. 38)
One atom of each set of equivalent atoms:
Gd1 0.000 0.215 0.000 [4 per cell]
Ho1 0.000 0.000 0.354 [2 per cell]
Mg1 0.500 0.000 0.034 [2 per cell]
Mg2 0.500 0.124 0.659 [4 per cell]
Cd1 0.000 0.000 0.782 [2 per cell]
Ga1 0.500 0.166 0.285 [4 per cell]

Summary:
E_tot: -3.272 eV per atom

Record 17
TbTaN2O | GGA-PBE | relaxed

Unit cell a=5.654 b=7.813 c=5.625 alpha=90.00 beta=90.00 gamma=90.00
Space group Pnma (No. 62)
One atom of each set of equivalent atoms:
Tb1 0.003 0.250 0.028 [4 per cell]
Ta1 0.000 0.000 0.500 [4 per cell]
N1 0.248 0.563 0.752 [8 per cell]
O1 0.002 0.750 0.384 [4 per cell]

Summary:
E_tot: -9.531 eV per atom

Record 18
LaTbSi2Os | GGA-PBE | relaxed

Unit cell a=10.920 b=4.280 c=10.203 alpha=90.00 beta=118.18 gamma=90.00
Space group C2/m (No. 12)
One atom of each set of equivalent atoms:
La1 0.194 0.000 0.101 [4 per cell]
Tb1 0.000 0.000 0.328 [4 per cell]
Si1 0.010 0.500 0.135 [4 per cell]
Si2 0.151 0.500 0.563 [4 per cell]
Os1 0.232 0.500 0.378 [4 per cell]

Summary:
E_tot: -7.047 eV per atom

Record 19
Gd2ErGa3AgPt2 | GGA-PBE | relaxed

Unit cell a=3.756 b=13.001 c=7.528 alpha=90.00 beta=90.00 gamma=90.00
Space group Amm2 (No. 38)
One atom of each set of equivalent atoms:
Gd1 0.000 0.204 0.000 [4 per cell]
Er1 0.000 0.000 0.387 [2 per cell]
Ga1 0.500 0.000 0.066 [2 per cell]
Ga2 0.500 0.134 0.660 [4 per cell]
Ag1 0.000 0.000 0.793 [2 per cell]
Pt1 0.500 0.164 0.297 [4 per cell]

Summary:
E_tot: -5.095 eV per atom

Record 20
Zn2CoBi | GGA-PBE | relaxed

Unit cell a=6.505 b=6.505 c=6.505 alpha=90.00 beta=90.00 gamma=90.00
Space group F-43m (No. 216)
One atom of each set of equivalent atoms:
Zn1 0.000 0.000 0.000 [4 per cell]
Zn2 0.250 0.250 0.250 [4 per cell]
Co1 0.000 0.000 0.500 [4 per cell]
Bi1 0.250 0.250 0.750 [4 per cell]

Summary:
E_tot: -2.999 eV per atom

Record 21
GdDy2Er | GGA-PBE | relaxed

Unit cell a=5.627 b=7.203 c=12.472 alpha=90.00 beta=90.00 gamma=90.00
Space group Amm2 (No. 38)
One atom of each set of equivalent atoms:
Gd1 0.000 0.250 0.000 [4 per cell]
Dy1 0.000 0.000 0.251 [2 per cell]
Dy2 0.500 0.000 0.917 [2 per cell]
Dy3 0.500 0.250 0.167 [4 per cell]
Er1 0.000 0.000 0.750 [2 per cell]
Er2 0.500 0.000 0.417 [2 per cell]

Summary:
DFT formation energy: 9 meV per atom

Record 22
Th3Fe | GGA-PBE | relaxed

Unit cell a=7.539 b=7.539 c=7.539 alpha=90.00 beta=90.00 gamma=90.00
Space group Fm-3m (No. 225)
One atom of each set of equivalent atoms:
Th1 0.000 0.000 0.000 [4 per cell]
Th2 0.250 0.250 0.250 [8 per cell]
Fe1 0.000 0.000 0.500 [4 per cell]

Summary:
DFT formation energy: 406 meV per atom